Computed, not measured: crystalline Co2As2O7 at its relaxed geometry at the PBE+U level of DFT.

## Properties
- total moment (μB per cell) = 6.02
- symmetry = No. 1
- energy relative to the lowest polymorph listed for this composition (meV per atom) = 0

Cell: 4.888 5.424 5.428 Å, 106.77 97.06 97.07°
Last column: magnetic moment on the atom in μB.
Sites, in units of the cell vectors:
1 Co 0.492 0.312 0.696  2.75
2 Co 0.493 0.695 0.312  2.75
3 As 0.100 0.742 0.742  0.02
4 As 0.901 0.220 0.220  0.01
5 O 0.086 0.021 0.018  0.01
6 O 0.749 0.622 0.623  0.06
7 O 0.196 0.425 0.426  0.06
8 O 0.284 0.926 0.584  0.07
9 O 0.283 0.585 0.926  0.07
10 O 0.708 0.389 0.064  0.05
11 O 0.709 0.063 0.388  0.05